(1)
A plane-wave DFT calculation with GGA-PBE was carried out for PdI3 after structural relaxation.

Structure (CIF):
```
data_PdI3
_cell_length_a 3.8060
_cell_length_b 9.3830
_cell_length_c 6.9929
_cell_angle_alpha 132.14
_cell_angle_beta 105.79
_cell_angle_gamma 90.00
_space_group_name_H-M_alt 'P 1'
_space_group_IT_number 1
_space_group_name_Hall 'P 1'
loop_
_atom_site_label
_atom_site_fract_x
_atom_site_fract_y
_atom_site_fract_z
_atom_site_occupancy
I1 0.6864 0.1167 0.3728 1
I2 0.3136 0.7440 0.6272 1
I3 0.5000 0.3914 0.0000 1
Pd1 0.0000 0.9146 0.0000 1
```

## Properties
* formation energy (no corrections): -0.01 eV/atom
* total moment: 0.00 μB per cell
* uncorrected energy: -2.467 eV per atom



(2)
A plane-wave DFT calculation with GGA-PBE was carried out for PdI after structural relaxation.

Structure (CIF):
```
data_PdI
_cell_length_a 11.7277
_cell_length_b 4.0910
_cell_length_c 6.5525
_cell_angle_alpha 90.00
_cell_angle_beta 90.00
_cell_angle_gamma 90.00
_space_group_name_H-M_alt 'P 1'
_space_group_IT_number 1
_space_group_name_Hall 'P 1'
loop_
_atom_site_label
_atom_site_fract_x
_atom_site_fract_y
_atom_site_fract_z
_atom_site_occupancy
I1 0.6796 0.7517 0.6728 1
I2 0.8204 0.2483 0.1728 1
I3 0.0000 0.7482 0.7355 1
I4 0.1795 0.2483 0.1728 1
I5 0.3204 0.7517 0.6728 1
I6 0.5000 0.2518 0.2355 1
Pd1 0.6641 0.7490 0.2448 1
Pd2 0.0000 0.2450 0.4313 1
Pd3 0.1641 0.2510 0.7448 1
Pd4 0.5000 0.7550 0.9313 1
Pd5 0.3359 0.7490 0.2448 1
Pd6 0.8359 0.2510 0.7448 1
```

## Properties
* formation energy (no corrections): -0.03 eV/atom
* total moment: 0.00 μB per cell
* uncorrected energy: -3.402 eV per atom



> Look up the formation energy (no corrections) of the first one.

-0.01 eV/atom



> Look up the formation energy (no corrections) of the second one.

-0.03 eV/atom